No. 1
4
Lattice="0.0000 2.9911 2.9911 2.9911 0.0000 2.9911 2.9911 2.9911 0.0000" Properties=species:S:1:pos:R:3 comment="MgFeNiRu (PBE, optimized geometry)" formation_energy_ev_per_atom=0.039 density_g_cm3=7.4 n_ef_per_ev_cell=1.79 e_tot_ev_per_atom=-6.2397 magnetic_moment_mub_per_fu=4.098 pbc="T T T"
Mg 0.0000 0.0000 0.0000
Fe 2.9911 2.9911 2.9911
Ni 1.4955 1.4955 1.4955
Ru 4.4866 4.4866 4.4866

---

No. 2
10
Lattice="4.0612 0.0000 0.0000 0.0000 4.0612 0.0000 0.0000 0.0000 10.0338" Properties=species:S:1:pos:R:3 comment="Tm2CoSi4Pt3 (PBE, optimized geometry)" density_g_cm3=11.0 n_ef_per_ev_cell=4.03 e_tot_ev_per_atom=-6.5858 formation_energy_uncorrected_kj_per_mol_atoms=-96.4 magnetic_moment_mub_per_fu=0.801 pbc="T T T"
Tm 0.0000 2.0306 2.4307
Tm 2.0306 0.0000 7.6030
Co 2.0306 2.0306 0.0000
Si 0.0000 0.0000 5.0169
Si 0.0000 2.0306 8.7492
Si 2.0306 0.0000 1.2846
Si 2.0306 2.0306 5.0169
Pt 0.0000 0.0000 0.0000
Pt 0.0000 2.0306 6.3504
Pt 2.0306 0.0000 3.6834

---

No. 3
4
Lattice="5.3614 -1.6228 0.0000 5.3614 1.6228 0.0000 -1.6361 0.0000 3.8628" Properties=species:S:1:pos:R:3 comment="LiCaTc2 (PBE, optimized geometry)" formation_energy_ev_per_atom=0.437 density_g_cm3=6.0 n_ef_per_ev_cell=2.43 e_tot_ev_per_atom=-5.7244 magnetic_moment_mub_per_fu=0.000 pbc="T T T"
Li 0.0000 0.0000 0.0000
Ca 4.5434 0.0000 1.9314
Tc 1.5151 0.0000 2.9255
Tc 7.5717 0.0000 0.9373

---

No. 4
11
Lattice="3.6491 -4.9154 0.0000 3.6491 4.9154 0.0000 0.0000 0.0000 6.9246" Properties=species:S:1:pos:R:3 comment="Hf7Al2Au2 (PBE, optimized geometry)" formation_energy_ev_per_atom=0.158 density_g_cm3=11.3 n_ef_per_ev_cell=12.90 e_tot_ev_per_atom=-7.4527 magnetic_moment_mub_per_fu=0.316 pbc="T T T"
Hf 0.0000 0.0000 0.0000
Hf 1.8245 2.4577 2.0003
Hf 1.8245 2.4577 4.9243
Hf 1.8245 -2.4577 2.0003
Hf 1.8245 -2.4577 4.9243
Hf 3.6491 0.0000 1.9092
Hf 3.6491 0.0000 5.0154
Al 1.2662 0.0000 3.4623
Al 6.0319 0.0000 3.4623
Au 3.6491 2.1173 0.0000
Au 3.6491 -2.1173 0.0000